(1)
DFT (PBE) results for BeGaS after structural relaxation.

The structure in POSCAR format:
```
BeGaS
1.0
5.544 -1.667 0.000
5.544 1.667 0.000
-1.166 0.000 5.834
Be Ga S
2 2 2
direct
0.000 0.000 0.000
0.507 0.507 0.510
0.220 0.220 0.131
0.721 0.721 0.509
0.445 0.445 0.155
0.944 0.944 0.652
```

## Properties
total magnetic moment: 0.00 μB per formula unit
DFT total energy: -0.2952 Ry per atom


(2)
DFT (PBE) results for Be2Ga2S after structural relaxation.

The structure in POSCAR format:
```
Be2Ga2S
1.0
-1.818 1.818 5.588
1.818 -1.818 5.588
1.818 1.818 -5.588
Be Ga S
2 2 1
direct
0.097 0.097 0.000
0.903 0.903 0.000
0.250 0.750 0.500
0.750 0.250 0.500
0.500 0.500 0.000
```

## Properties
total magnetic moment: 0.00 μB per formula unit
DFT total energy: -0.2269 Ry per atom


(3)
DFT (PBE) results for BeGaS after structural relaxation.

The structure in POSCAR format:
```
BeGaS
1.0
3.346 0.000 0.000
0.000 5.692 0.000
-1.162 0.000 5.735
Be Ga S
2 2 2
direct
0.220 0.000 0.431
0.780 0.500 0.569
0.219 0.661 0.977
0.781 0.161 0.023
0.235 0.646 0.434
0.765 0.146 0.566
```

## Properties
total magnetic moment: 0.00 μB per formula unit
DFT total energy: -0.2934 Ry per atom


(4)
DFT (PBE) results for BeGa2S after structural relaxation.

The structure in POSCAR format:
```
BeGa2S
1.0
-2.841 2.841 5.046
2.841 -2.841 5.046
2.841 2.841 -5.046
Be Ga S
2 4 2
direct
0.000 0.000 0.000
0.750 0.250 0.500
0.104 0.625 0.979
0.375 0.354 0.479
0.646 0.125 0.021
0.875 0.896 0.521
0.250 0.750 0.500
0.500 0.500 0.000
```

## Properties
total magnetic moment: 0.00 μB per formula unit
DFT total energy: -0.2486 Ry per atom


(5)
DFT (PBE) results for BeGaS2 after structural relaxation.

The structure in POSCAR format:
```
BeGaS2
1.0
-2.754 2.754 4.999
2.754 -2.754 4.999
2.754 2.754 -4.999
Be Ga S
2 2 4
direct
0.000 0.000 0.000
0.750 0.250 0.500
0.250 0.750 0.500
0.500 0.500 0.000
0.060 0.625 0.935
0.375 0.310 0.435
0.690 0.125 0.065
0.875 0.940 0.565
```

## Properties
total magnetic moment: 0.00 μB per formula unit
DFT total energy: -0.3162 Ry per atom


(6)
DFT (PBE) results for BeGaS after structural relaxation.

The structure in POSCAR format:
```
BeGaS
1.0
3.339 0.000 0.000
0.000 6.100 0.000
0.000 0.000 5.272
Be Ga S
2 2 2
direct
0.000 0.119 0.000
0.500 0.881 0.500
0.000 0.479 0.759
0.500 0.521 0.259
0.000 0.887 0.717
0.500 0.113 0.217
```

## Properties
total magnetic moment: 0.00 μB per formula unit
DFT total energy: -0.2947 Ry per atom


(7)
DFT (PBE) results for Be2Ga2S after structural relaxation.

The structure in POSCAR format:
```
Be2Ga2S
1.0
5.541 0.000 0.000
0.000 5.541 0.000
0.000 0.000 5.100
Be Ga S
4 4 2
direct
0.134 0.366 0.000
0.366 0.866 0.000
0.634 0.134 0.000
0.866 0.634 0.000
0.164 0.664 0.500
0.336 0.164 0.500
0.664 0.836 0.500
0.836 0.336 0.500
0.000 0.000 0.000
0.500 0.500 0.000
```

## Properties
total magnetic moment: 0.00 μB per formula unit
DFT total energy: -0.2442 Ry per atom


(8)
DFT (PBE) results for BeGa3S after structural relaxation.

The structure in POSCAR format:
```
BeGa3S
1.0
4.490 0.000 0.000
0.000 4.490 0.000
0.000 0.000 4.490
Be Ga S
1 3 1
direct
0.000 0.000 0.000
0.000 0.000 0.500
0.000 0.500 0.000
0.500 0.000 0.000
0.500 0.500 0.500
```

## Properties
total magnetic moment: 0.00 μB per formula unit
DFT total energy: -0.2409 Ry per atom


(9)
DFT (PBE) results for BeGa2S4 after structural relaxation.

The structure in POSCAR format:
```
BeGa2S4
1.0
-2.607 2.607 5.064
2.607 -2.607 5.064
2.607 2.607 -5.064
Be Ga S
1 2 4
direct
0.000 0.000 0.000
0.250 0.750 0.500
0.750 0.250 0.500
0.130 0.645 0.000
0.355 0.355 0.485
0.645 0.130 0.000
0.870 0.870 0.515
```

## Properties
total magnetic moment: 0.00 μB per formula unit
DFT total energy: -0.3342 Ry per atom


(10)
DFT (PBE) results for BeGa3S after structural relaxation.

The structure in POSCAR format:
```
BeGa3S
1.0
4.871 0.000 0.000
0.000 4.871 0.000
0.000 0.000 4.871
Be Ga S
1 3 1
direct
0.000 0.000 0.000
0.000 0.500 0.500
0.500 0.000 0.500
0.500 0.500 0.000
0.500 0.500 0.500
```

## Properties
total magnetic moment: 0.00 μB per formula unit
DFT total energy: -0.1915 Ry per atom


(11)
DFT (PBE) results for BeGaS after structural relaxation.

The structure in POSCAR format:
```
BeGaS
1.0
3.366 0.000 0.000
1.683 2.916 0.000
0.024 1.907 5.972
Be Ga S
1 1 1
direct
0.000 0.000 0.000
0.550 0.907 0.629
0.695 0.609 0.088
```

## Properties
total magnetic moment: 0.00 μB per formula unit
DFT total energy: -0.2947 Ry per atom


(12)
DFT (PBE) results for BeGaS2 after structural relaxation.

The structure in POSCAR format:
```
BeGaS2
1.0
1.883 1.087 6.516
-1.883 1.087 6.516
0.000 -2.174 6.516
Be Ga S
1 1 2
direct
0.000 0.000 0.000
0.500 0.500 0.500
0.097 0.097 0.097
0.903 0.903 0.903
```

## Properties
total magnetic moment: 0.00 μB per formula unit
DFT total energy: -0.2975 Ry per atom


(13)
DFT (PBE) results for BeGaS2 after structural relaxation.

The structure in POSCAR format:
```
BeGaS2
1.0
0.000 3.112 3.112
3.112 0.000 3.112
3.112 3.112 0.000
Be Ga S
1 1 2
direct
0.000 0.000 0.000
0.500 0.500 0.500
0.250 0.250 0.250
0.750 0.750 0.750
```

## Properties
total magnetic moment: 0.00 μB per formula unit
DFT total energy: -0.2528 Ry per atom


(14)
DFT (PBE) results for Be2GaS after structural relaxation.

The structure in POSCAR format:
```
Be2GaS
1.0
-2.731 2.731 4.357
2.731 -2.731 4.357
2.731 2.731 -4.357
Be Ga S
4 2 2
direct
0.076 0.625 0.951
0.375 0.326 0.451
0.674 0.125 0.049
0.875 0.924 0.549
0.250 0.750 0.500
0.500 0.500 0.000
0.000 0.000 0.000
0.750 0.250 0.500
```

## Properties
total magnetic moment: 0.00 μB per formula unit
DFT total energy: -0.2700 Ry per atom


(15)
DFT (PBE) results for BeGaS after structural relaxation.

The structure in POSCAR format:
```
BeGaS
1.0
2.912 -1.664 0.000
2.912 1.664 0.000
-1.877 0.000 5.350
Be Ga S
1 1 1
direct
0.000 0.000 0.000
0.537 0.537 0.619
0.375 0.375 0.133
```

## Properties
total magnetic moment: 0.00 μB per formula unit
DFT total energy: -0.2945 Ry per atom


(16)
DFT (PBE) results for BeGa2S4 after structural relaxation.

The structure in POSCAR format:
```
BeGa2S4
1.0
-2.704 2.704 5.898
2.704 -2.704 5.898
2.704 2.704 -5.898
Be Ga S
1 2 4
direct
0.000 0.000 0.000
0.000 0.500 0.500
0.500 0.000 0.500
0.115 0.666 0.000
0.334 0.334 0.449
0.666 0.115 0.000
0.885 0.885 0.551
```

## Properties
total magnetic moment: 0.00 μB per formula unit
DFT total energy: -0.3264 Ry per atom


(17)
DFT (PBE) results for BeGaS after structural relaxation.

The structure in POSCAR format:
```
BeGaS
1.0
5.275 -1.667 0.000
5.275 1.667 0.000
-5.131 0.000 6.671
Be Ga S
2 2 2
direct
0.148 0.148 0.363
0.852 0.852 0.637
0.133 0.133 0.848
0.867 0.867 0.152
0.258 0.258 0.674
0.742 0.742 0.326
```

## Properties
total magnetic moment: 0.00 μB per formula unit
DFT total energy: -0.2934 Ry per atom


(18)
DFT (PBE) results for BeGaSb2S after structural relaxation.

The structure in POSCAR format:
```
BeGaSb2S
1.0
5.192 0.000 0.000
0.000 5.192 0.000
0.000 0.000 4.934
Be Ga Sb S
1 1 2 1
direct
0.000 0.000 0.000
0.500 0.500 0.000
0.000 0.500 0.500
0.500 0.000 0.500
0.500 0.500 0.500
```

## Properties
total magnetic moment: 0.00 μB per formula unit
DFT total energy: -0.2174 Ry per atom


(19)
DFT (PBE) results for BeGaSeS2 after structural relaxation.

The structure in POSCAR format:
```
BeGaSeS2
1.0
5.196 0.000 0.000
0.000 5.196 0.000
0.000 0.000 4.027
Be Ga Se S
1 1 1 2
direct
0.000 0.000 0.000
0.500 0.500 0.000
0.000 0.000 0.500
0.000 0.500 0.500
0.500 0.000 0.500
```

## Properties
total magnetic moment: 0.00 μB per formula unit
DFT total energy: -0.2352 Ry per atom


(20)
DFT (PBE) results for BeTl2GaS4 after structural relaxation.

The structure in POSCAR format:
```
BeTl2GaS4
1.0
4.693 -4.219 0.000
4.693 4.219 0.000
-4.693 0.000 4.702
Be Tl Ga S
1 2 1 4
direct
0.000 0.000 0.000
0.499 0.501 0.000
0.749 0.251 0.500
0.250 0.750 0.500
0.118 0.354 0.387
0.269 0.032 0.915
0.646 0.882 0.613
0.968 0.731 0.085
```

## Properties
total magnetic moment: 0.00 μB per formula unit
DFT total energy: -0.2946 Ry per atom


Number 1: ΔE_f (raw) -389 meV per atom. Number 2: ΔE_f (raw) 439 meV per atom. Number 3: ΔE_f (raw) -365 meV per atom. Number 4: ΔE_f (raw) 95 meV per atom. Number 5: ΔE_f (raw) -551 meV per atom. Number 6: ΔE_f (raw) -383 meV per atom. Number 7: ΔE_f (raw) 204 meV per atom. Number 8: ΔE_f (raw) 109 meV per atom. Number 9: ΔE_f (raw) -792 meV per atom. Number 10: ΔE_f (raw) 781 meV per atom. Number 11: ΔE_f (raw) -383 meV per atom. Number 12: ΔE_f (raw) -296 meV per atom. Number 13: ΔE_f (raw) 312 meV per atom. Number 14: ΔE_f (raw) -22 meV per atom. Number 15: ΔE_f (raw) -380 meV per atom. Number 16: ΔE_f (raw) -685 meV per atom. Number 17: ΔE_f (raw) -366 meV per atom. Number 18: ΔE_f (raw) 867 meV per atom. Number 19: ΔE_f (raw) 499 meV per atom. Number 20: ΔE_f (raw) -509 meV per atom.